(1)
# PBE UNbTl, relaxed
# **Spin magnetization**: 0.110 μB/atom
# **Total energy**: -83.1 eV/cell
# **Calculated volume**: 25.124 Å³/atom
# **Energy above the most stable polymorph in this dataset**: 0.000 eV per atom
data_UNbTl
_chemical_formula_sum 'U4 Nb4 Tl4'
_cell_length_a 6.7054
_cell_length_b 6.7054
_cell_length_c 6.7054
_cell_angle_alpha 90.00
_cell_angle_beta 90.00
_cell_angle_gamma 90.00
_symmetry_space_group_name_H-M 'F -4 3 m'
_symmetry_Int_Tables_number 216
_symmetry_space_group_name_Hall 'F -4 2 3'
loop_
_atom_site_label
_atom_site_type_symbol
_atom_site_fract_x
_atom_site_fract_y
_atom_site_fract_z
U1 U 0.0000 0.0000 0.0000
Nb1 Nb 0.2500 0.2500 0.7500
Tl1 Tl 0.0000 0.0000 0.5000


(2)
# PBE LiOs2Pd, relaxed
# **Spin magnetization**: 0.002 μB/atom
# **Total energy**: -113.8 eV/cell
# **Calculated volume**: 13.913 Å³/atom
data_LiOs2Pd
_chemical_formula_sum 'Li4 Os8 Pd4'
_cell_length_a 6.0606
_cell_length_b 6.0606
_cell_length_c 6.0606
_cell_angle_alpha 90.00
_cell_angle_beta 90.00
_cell_angle_gamma 90.00
_symmetry_space_group_name_H-M 'F -4 3 m'
_symmetry_Int_Tables_number 216
_symmetry_space_group_name_Hall 'F -4 2 3'
loop_
_atom_site_label
_atom_site_type_symbol
_atom_site_fract_x
_atom_site_fract_y
_atom_site_fract_z
Li1 Li 0.0000 0.0000 0.0000
Os1 Os 0.0000 0.0000 0.5000
Os2 Os 0.2500 0.2500 0.7500
Pd1 Pd 0.2500 0.2500 0.2500


(3)
# PBE LiMg2Au, relaxed
# **Total energy**: -9.9 eV/cell
# **Calculated volume**: 18.002 Å³/atom
data_LiMg2Au
_chemical_formula_sum 'Li1 Mg2 Au1'
_cell_length_a 4.3379
_cell_length_b 4.3379
_cell_length_c 3.8268
_cell_angle_alpha 90.00
_cell_angle_beta 90.00
_cell_angle_gamma 90.00
_symmetry_space_group_name_H-M 'P 4/m m m'
_symmetry_Int_Tables_number 123
_symmetry_space_group_name_Hall '-P 4 2'
loop_
_atom_site_label
_atom_site_type_symbol
_atom_site_fract_x
_atom_site_fract_y
_atom_site_fract_z
Li1 Li 0.0000 0.0000 0.0000
Mg1 Mg 0.0000 0.5000 0.5000
Au1 Au 0.5000 0.5000 0.0000


(4)
# PBE Sm2Ho2NCl5, relaxed
# **Spin magnetization**: 0.000 μB/atom
# **Total energy**: -109.5 eV/cell
# **Calculated volume**: 23.158 Å³/atom
data_Sm2Ho2NCl5
_chemical_formula_sum 'Sm4 Ho4 N2 Cl10'
_cell_length_a 16.9716
_cell_length_b 3.6543
_cell_length_c 7.7235
_cell_angle_alpha 90.00
_cell_angle_beta 104.77
_cell_angle_gamma 90.00
_symmetry_space_group_name_H-M 'C 1 2/m 1'
_symmetry_Int_Tables_number 12
loop_
_symmetry_equiv_pos_as_xyz
'x,y,z'
'-x,-y,-z'
'-x,y,-z'
'x,-y,z'
'x+1/2,y+1/2,z'
'-x+1/2,-y+1/2,-z'
'-x+1/2,y+1/2,-z'
'x+1/2,-y+1/2,z'
loop_
_atom_site_label
_atom_site_type_symbol
_atom_site_fract_x
_atom_site_fract_y
_atom_site_fract_z
Sm1 Sm 0.1466 0.0000 0.0853
Ho1 Ho 0.0011 0.5000 0.7928
N1 N 0.0000 0.0000 0.0000
Cl1 Cl 0.0000 0.0000 0.5000
Cl2 Cl 0.1601 0.5000 0.3608
Cl3 Cl 0.1676 0.5000 0.8220


(5)
# PBE Na4Al2CdHg, relaxed
# **Total energy**: -13.9 eV/cell
# **Calculated volume**: 22.131 Å³/atom
data_Na4Al2CdHg
_chemical_formula_sum 'Na4 Al2 Cd1 Hg1'
_cell_length_a 5.0090
_cell_length_b 5.0090
_cell_length_c 7.0563
_cell_angle_alpha 90.00
_cell_angle_beta 90.00
_cell_angle_gamma 90.00
_symmetry_space_group_name_H-M 'P -4 m 2'
_symmetry_Int_Tables_number 115
loop_
_symmetry_equiv_pos_as_xyz
'x,y,z'
'y,-x,-z'
'-x,-y,z'
'-y,x,-z'
'-x,y,z'
'-y,-x,-z'
'x,-y,z'
'y,x,-z'
loop_
_atom_site_label
_atom_site_type_symbol
_atom_site_fract_x
_atom_site_fract_y
_atom_site_fract_z
Na1 Na 0.0000 0.0000 0.0000
Na2 Na 0.0000 0.5000 0.7487
Na3 Na 0.5000 0.5000 0.5000
Al1 Al 0.0000 0.5000 0.2510
Cd1 Cd 0.5000 0.5000 0.0000
Hg1 Hg 0.0000 0.0000 0.5000


(6)
# PBE Li3GdBi2, relaxed
# **Spin magnetization**: 0.001 μB/atom
# **Total energy**: -22.6 eV/cell
# **Calculated volume**: 22.733 Å³/atom
data_Li3GdBi2
_chemical_formula_sum 'Li3 Gd1 Bi2'
_cell_length_a 4.6487
_cell_length_b 4.6487
_cell_length_c 7.2882
_cell_angle_alpha 90.00
_cell_angle_beta 90.00
_cell_angle_gamma 120.00
_symmetry_space_group_name_H-M 'P -3 m 1'
_symmetry_Int_Tables_number 164
_symmetry_space_group_name_Hall '-P 3 2"'
loop_
_atom_site_label
_atom_site_type_symbol
_atom_site_fract_x
_atom_site_fract_y
_atom_site_fract_z
Li1 Li 0.0000 0.0000 0.0000
Li2 Li 0.3333 0.6667 0.8490
Gd1 Gd 0.0000 0.0000 0.5000
Bi1 Bi 0.3333 0.6667 0.2514